An optimized crystal structure of RbCuHg2N, computed with PBE.

Space group: P4/mmm
V in A^3/atom: 28.07
VASP energy in eV/cell: -12.05

Cell: 6.3162 6.3162 3.5182 Å, 90.00 90.00 90.00°
Last column: nearest neighbours and their distance in Å.
Atoms (fractional coordinates):
N: 0.0000 0.0000 0.0000  2 Cu 1.76
Hg: 0.0000 0.5000 0.0000  2 N 3.16, 2 Hg 3.52
Hg: 0.5000 0.0000 0.0000  2 N 3.16, 2 Hg 3.52
Cu: 0.0000 0.0000 0.5000  2 N 1.76
Rb: 0.5000 0.5000 0.5000  2 Rb 3.52, 8 Hg 3.61